No. 1
Computed, not measured: a PBEsol-optimized structure of CuPt2Au at the meta-GGA SCAN level of DFT.

a b c (Å): 2.7471 2.7471 26.9575
angles (deg): 90.00 90.00 120.00
Closest atoms and distances in Å follow each position.
Space group R-3m (No. 166, hexagonal axes)
Unique sites:
Cu1 0.0000 0.0000 0.0000 [3 per cell]  6 Pt 2.61, 6 Cu 2.75
Pt1 0.0000 0.0000 0.2564 [6 per cell]  3 Cu 2.61, 6 Pt 2.75, 3 Au 2.89
Au1 0.0000 0.0000 0.5000 [3 per cell]  6 Au 2.75, 6 Pt 2.89

The formation energy comes out at -0.072 eV/atom. The value obtained for the energy above the most stable polymorph in this dataset is 0.00 kJ per mole of atoms. As for the raw total energy: -56.258 eV/atom.


No. 2
Computed, not measured: a PBEsol-optimized structure of Cu2PtAu at the meta-GGA SCAN level of DFT.

a b c (Å): 3.9626 3.9626 6.9532
angles (deg): 90.00 90.00 90.00
Closest atoms and distances in Å follow each position.
Space group I4/mmm (No. 139)
Unique sites:
Cu1 0.0000 0.5000 0.2500 [4 per cell]  4 Pt 2.64, 4 Au 2.64, 4 Cu 2.80
Pt1 0.0000 0.0000 0.0000 [2 per cell]  8 Cu 2.64, 4 Au 2.80
Au1 0.0000 0.0000 0.5000 [2 per cell]  8 Cu 2.64, 4 Pt 2.80

The formation energy comes out at -0.137 eV/atom. As for the raw total energy: -42.574 eV/atom.